LaReSe2 (PBE-GGA, optimized geometry); ΔE to the lowest computed polymorph = 417 meV per atom
1.0
-2.955 0.385 2.045
-1.649 -2.600 -1.893
2.328 -4.546 4.218
Se La Re
2 1 1
direct
0.000 0.000 0.946
0.500 0.500 0.246
0.000 0.000 0.478
0.500 0.500 0.830